Here is AcBiP2Pd5 after structural relaxation from Alexandria via LeMat-Bulk. Energies are from PBE-GGA.

Geometry as extended XYZ:
```
9
Lattice="4.406 0.000 0.000 0.000 4.406 0.000 0.000 0.000 9.901" Properties=species:S:1:pos:R:3 pbc="T T T"
Ac 0.000 0.000 0.000
Bi 0.000 0.000 4.951
P 2.203 2.203 2.283
P 2.203 2.203 7.618
Pd 0.000 2.203 3.080
Pd 0.000 2.203 6.821
Pd 2.203 0.000 3.080
Pd 2.203 0.000 6.821
Pd 2.203 2.203 0.000
```

Results
The magnetic moment comes out at 0.00 μB per formula unit. The crystal system is tetragonal. As for the energy of formation from the pure elements: -0.56 eV per atom. The density of states at the Fermi level is 5.80 states/eV/f.u.